Record 1
# Ce2PrSc

Crystalline Ce2PrSc at its relaxed geometry (PBE-GGA, Alexandria).

Cell: 11.6219 11.6219 11.6219 Å, 16.99 16.99 16.99°
Closest atoms and distances in Å follow each position.
Fractional positions:
Ce 0.0000 0.0000 0.0000  3 Sc 3.35, 6 Ce 3.43, 3 Pr 3.69
Ce 0.1566 0.1566 0.1566  3 Sc 3.33, 6 Ce 3.43, 3 Pr 3.56
Pr 0.5762 0.5762 0.5762  6 Pr 3.43, 6 Ce 3.56-3.69
Sc 0.7454 0.7454 0.7454  6 Ce 3.33-3.35, 6 Sc 3.43

Offset from the most stable computed form (kJ per mole of atoms): 0.0
E_form (kJ/mol of formula units): 43
Crystal system: trigonal
Space group: R3m

Record 2
# AsC2

Crystalline AsC2 at its relaxed geometry (PBE-GGA, Alexandria).

Cell: 3.1241 3.1241 7.3253 Å, 90.00 90.00 120.00°
Closest atoms and distances in Å follow each position.
Fractional positions:
As 0.0000 0.0000 0.0000  6 C 2.13
As 0.0000 0.0000 0.5000  6 C 2.13
C 0.3333 0.6667 0.1550  1 C 1.39
C 0.3333 0.6667 0.3450  1 C 1.39
C 0.6667 0.3333 0.6550  1 C 1.39
C 0.6667 0.3333 0.8450  1 C 1.39

Offset from the most stable computed form (kJ per mole of atoms): 80.9
E_form (kJ/mol of formula units): 345
Crystal system: hexagonal
Space group: P6_3/mmc

Record 3
# NaCaGe2

Crystalline NaCaGe2 at its relaxed geometry (PBE-GGA, Alexandria).

Cell: 4.0044 5.8697 8.4371 Å, 90.00 90.00 90.00°
Closest atoms and distances in Å follow each position.
Fractional positions:
Na 0.0000 0.1415 0.0000  7 Ge 3.12-3.31
Na 0.0000 0.8585 0.5000  7 Ge 3.12-3.31
Ca 0.5000 0.3650 0.3609  7 Ge 3.10-3.32
Ca 0.5000 0.6350 0.8609  7 Ge 3.10-3.32
Ge 0.0000 0.3679 0.6407  2 Ge 2.55
Ge 0.0000 0.6321 0.1407  2 Ge 2.55
Ge 0.5000 0.1229 0.7170  2 Ge 2.55
Ge 0.5000 0.8771 0.2170  2 Ge 2.55

Offset from the most stable computed form (kJ per mole of atoms): 2.0
E_form (kJ/mol of formula units): -148
Crystal system: orthorhombic
Space group: Pmc2_1

Record 4
# NaSBr2

Crystalline NaSBr2 at its relaxed geometry (PBE-GGA, Alexandria).

Cell: 5.3039 5.3039 5.3039 Å, 60.00 60.00 60.00°
Closest atoms and distances in Å follow each position.
Fractional positions:
Na 0.0000 0.0000 0.0000  8 Br 3.25
S 0.5000 0.5000 0.5000  8 Br 3.25
Br 0.2500 0.2500 0.2500  4 S 3.25, 4 Na 3.25
Br 0.7500 0.7500 0.7500  4 S 3.25, 4 Na 3.25

Offset from the most stable computed form (kJ per mole of atoms): 32.1
Crystal system: cubic
Space group: Fm-3m

Record 5
# KNaTe

Crystalline KNaTe at its relaxed geometry (PBE-GGA, Alexandria).

Cell: 5.8370 5.8370 5.8370 Å, 133.46 133.46 67.93°
Closest atoms and distances in Å follow each position.
Fractional positions:
K 0.0000 0.0000 0.0000  1 Na 3.02, 1 Te 3.37
Na 0.3124 0.3124 0.0000  1 K 3.02, 1 Te 3.28
Te 0.6516 0.6516 0.0000  5 Na 3.28-3.61, 5 K 3.37-3.58

DFT total energy (eV per atom): -2.653
Crystal system: tetragonal
Space group: I4mm

Record 6
# Ac5Ga2Ge4

Crystalline Ac5Ga2Ge4 at its relaxed geometry (PBE-GGA, Alexandria).

Cell: 10.4936 10.4936 7.7584 Å, 103.39 103.39 24.83°
Closest atoms and distances in Å follow each position.
Fractional positions:
Ac 0.0000 0.0000 0.0000  4 Ge 3.46, 2 Ga 3.63
Ac 0.3358 0.3358 0.0572  4 Ge 3.18-3.22, 2 Ga 3.49
Ac 0.3495 0.3495 0.5749  4 Ge 3.22-3.34, 2 Ga 3.29
Ac 0.6505 0.6505 0.4251  4 Ge 3.22-3.34, 2 Ga 3.29
Ac 0.6642 0.6642 0.9428  4 Ge 3.18-3.22, 2 Ga 3.49
Ga 0.0783 0.0783 0.6259  3 Ge 2.65-2.67
Ga 0.9217 0.9217 0.3741  3 Ge 2.65-2.67
Ge 0.2125 0.2125 0.7127  1 Ga 2.67
Ge 0.4826 0.4826 0.3244  1 Ge 2.65, 2 Ga 2.65
Ge 0.5174 0.5174 0.6756  1 Ge 2.65, 2 Ga 2.65
Ge 0.7875 0.7875 0.2873  1 Ga 2.67

E_form (kJ/mol of formula units): -448
Crystal system: monoclinic
Space group: C2/m

Record 7
# Rb2HPb2

Crystalline Rb2HPb2 at its relaxed geometry (PBE-GGA, Alexandria).

Cell: 6.4529 6.4529 6.4529 Å, 108.90 108.90 110.62°
Closest atoms and distances in Å follow each position.
Fractional positions:
Rb 0.2500 0.7500 0.5000  2 Rb 3.67, 4 Pb 3.77
Rb 0.7500 0.2500 0.5000  2 Rb 3.67, 4 Pb 3.77
H 0.0000 0.0000 0.0000  2 Pb 2.19
Pb 0.2980 0.2980 0.0000  1 H 2.19
Pb 0.7020 0.7020 0.0000  1 H 2.19

DFT total energy (eV per atom): -2.292
Crystal system: tetragonal
Space group: I4/mmm

Record 8
# In2OsAu

Crystalline In2OsAu at its relaxed geometry (PBE-GGA, Alexandria).

Cell: 9.8342 9.8342 9.8342 Å, 155.26 155.26 35.27°
Closest atoms and distances in Å follow each position.
Fractional positions:
In 0.1100 0.6250 0.9850  2 Os 2.75, 2 Au 2.80, 4 In 2.89-3.07
In 0.3750 0.3600 0.4850  2 Os 2.75, 2 Au 2.80, 4 In 2.89-3.07
In 0.6400 0.1250 0.0150  2 Os 2.75, 2 Au 2.80, 4 In 2.89-3.07
In 0.8750 0.8900 0.5150  2 Os 2.75, 2 Au 2.80, 4 In 2.89-3.07
Os 0.0000 0.0000 0.0000  4 In 2.75, 4 Au 2.98
Os 0.7500 0.2500 0.5000  4 In 2.75, 4 Au 2.98
Au 0.2500 0.7500 0.5000  4 In 2.80, 4 Os 2.98
Au 0.5000 0.5000 0.0000  4 In 2.80, 4 Os 2.98

E_form (kJ/mol of formula units): 249
Crystal system: tetragonal
Space group: I-42d

Table of spin magnetization (μB per cell), in record order: 1.52, 0.00, 0.00, 3.00, 0.00, 0.00, 0.00, 0.00